Here is TaBeAlNi after structural relaxation from OQMD. Energies are from PBE.

**Space group**: F-43m (216)
**Energy above the most stable polymorph in this dataset**: 0.0 meV/atom
**Crystal system**: cubic

Geometry as POSCAR:
```
TaBeAlNi
1.0
0.000 2.958 2.958
2.958 0.000 2.958
2.958 2.958 0.000
Al Be Ni Ta
1 1 1 1
Direct
0.000 0.000 0.000
0.250 0.250 0.250
0.750 0.750 0.750
0.500 0.500 0.500
```